No. 1
U2P2H | Alexandria | PBE | optimized geometry; E_tot = -7.54 eV per atom; space group = C2/m; calculated volume = 83.48 Å³/cell; total moment = 0.00 μB per formula unit; mass density = 10.72 g/cm3
1.0
-3.625 -1.934 0.289
3.580 -1.692 1.132
-0.711 2.136 5.460
U P H
2 2 1
Direct
0.501 0.501 0.210
0.499 0.499 0.790
0.163 0.837 0.500
0.837 0.163 0.500
0.000 0.000 0.000



No. 2
AcDyAsO6 | Alexandria | PBE | optimized geometry; E_tot = -7.12 eV per atom; space group = P312; calculated volume = 137.16 Å³/cell; total moment = 1.05 μB per formula unit; mass density = 6.78 g/cm3; E_form (uncorrected) = -53.83 kcal/mol of atoms
1.0
-0.703 3.095 4.134
-5.104 -1.988 0.620
4.237 -2.440 2.547
Ac Dy As O
1 1 1 6
Direct
0.000 0.333 0.667
0.500 0.667 0.333
0.500 0.000 0.000
0.706 0.725 0.719
0.706 0.281 0.005
0.706 0.995 0.275
0.294 0.281 0.275
0.294 0.725 0.005
0.294 0.995 0.719



No. 3
SmLu2Ru | Alexandria | PBE | optimized geometry; E_tot = -6.07 eV per atom; calculated formation energy = -0.31 eV per atom; space group = P4/mmm; calculated volume = 100.90 Å³/cell; total moment = 0.00 μB per formula unit; mass density = 9.90 g/cm3
1.0
3.387 0.000 0.000
0.000 3.387 0.000
0.000 0.000 8.793
Ru Lu Sm
1 2 1
Direct
0.500 0.500 0.000
0.000 0.000 0.819
0.000 0.000 0.181
0.500 0.500 0.500